This record from the Alexandria database describes a geometry-optimized FeP2SO structure. The functional is GGA+U.

Values from the calculation:
* Fermi-level density of states: 4.68 states/eV/cell
* E above lowest polymorph: 731.9 meV per atom
* space group: No. 123
* size of the total moment: 2.5 μB/cell

a b c (Å): 4.451 4.451 4.348
angles (deg): 90.00 90.00 90.00
Site moments in Bohr magnetons follow the coordinates.
Fractional coordinates of all 5 atoms:
P: 0.000 0.500 0.000  -0.06
P: 0.500 0.000 0.000  -0.06
S: 0.000 0.000 0.500  -0.13
Fe: 0.000 0.000 0.000  -3.02
O: 0.500 0.500 0.500  0.84